# 1
DFT (GGA-PBE) results for an optimized crystal structure of MgZnGaCo.

Output
symmetry = R3m (160)
D(E_F) = 2.67 states/eV/f.u.
ΔH_f (0 K) = 80 meV per atom

a = 4.1171 Å, b = 4.1171 Å, c = 5.1834 Å
α = 66.60°, β = 66.60°, γ = 60.00°
Each line ends with the local moment (μB).
Element x y z (fractional)
Mg 0.8204 0.8204 0.5389  0.00
Zn 0.2579 0.2579 0.2264  0.00
Ga 0.6349 0.6349 0.0953  -0.01
Co 0.0127 0.0127 0.9618  0.27



# 2
DFT (GGA-PBE) results for an optimized crystal structure of PbN2F3.

Output
raw formation energy = 379 meV/atom
symmetry = C2/m (12)
D(E_F) = 0.41 states/eV/f.u.

a = 4.5539 Å, b = 7.5841 Å, c = 8.9585 Å
α = 100.72°, β = 104.72°, γ = 90.00°
Each line ends with the local moment (μB).
Element x y z (fractional)
Pb 0.0000 0.2500 0.0000  0.01
Pb 0.0001 0.7500 0.0000  0.00
N 0.3120 0.3888 0.6241  1.95
N 0.3042 0.9076 0.6084  1.95
N 0.6880 0.1112 0.3759  1.95
N 0.6958 0.5924 0.3916  1.95
F 0.5000 0.7500 0.0000  0.01
F 0.5000 0.2500 0.0000  0.01
F 0.9196 0.9217 0.8392  0.01
F 0.0804 0.5783 0.1608  0.01
F 0.9193 0.5084 0.8386  0.01
F 0.0807 0.9916 0.1614  0.01



# 3
DFT (GGA-PBE) results for an optimized crystal structure of Ca4HoU3As8.

Output
symmetry = R-3m (166)
D(E_F) = 20.10 states/eV/f.u.
ΔH_f (0 K) = -1065 meV per atom

a = 8.3199 Å, b = 8.3664 Å, c = 8.3200 Å
α = 119.83°, β = 120.00°, γ = 90.00°
Each line ends with the local moment (μB).
Element x y z (fractional)
Ca 0.5000 0.0000 0.0000  -0.01
Ca 0.5000 0.0000 0.5000  -0.01
Ca 0.0000 0.0000 0.0000  -0.01
Ca 0.0000 0.0000 0.5000  -0.01
Ho 0.0000 0.5000 0.0000  -0.01
U 0.5000 0.5000 0.0000  1.81
U 0.5000 0.5000 0.5000  1.81
U 0.0000 0.5000 0.5000  1.81
As 0.2461 0.7304 0.9844  -0.06
As 0.2461 0.7305 0.4923  -0.06
As 0.2564 0.2693 0.5128  -0.06
As 0.7383 0.7304 0.9844  -0.06
As 0.2617 0.2696 0.0156  -0.06
As 0.7436 0.7307 0.4872  -0.06
As 0.7539 0.2695 0.5077  -0.06
As 0.7539 0.2696 0.0156  -0.06



What E values result from the calculations? In sequence: -12.68, -23.70, -100.68 eV/f.u..